Arrangement w

Mg4Cd3Hg4 | PBE | relaxed

The total magnetic moment comes out at 0.00 μB per formula unit. Its density of states at the Fermi level is 4.9 states/eV per cell.

Cell lengths 4.4297, 7.7884, 8.9727 Å; angles 115.72, 104.29, 90.00 degrees
Positions (direct):
Cd (0.8759, 0.8759, 0.7518)
Cd (0.0000, 0.5000, 0.0000)
Cd (0.1241, 0.1241, 0.2482)
Hg (0.5000, 0.2002, 0.0000)
Hg (0.5000, 0.7998, 0.0000)
Hg (0.8060, 0.3060, 0.6120)
Hg (0.1940, 0.6940, 0.3880)
Mg (0.6771, 0.9031, 0.3542)
Mg (0.3229, 0.0969, 0.6458)
Mg (0.6771, 0.4510, 0.3542)
Mg (0.3229, 0.5490, 0.6458)

---

Arrangement x

Mg4Cd3Hg4 | PBE | relaxed

The total magnetic moment comes out at 0.00 μB per formula unit. Its density of states at the Fermi level is 1.8 states/eV per cell.

Cell lengths 3.2160, 9.5687, 9.4553 Å; angles 120.47, 90.01, 90.00 degrees
Positions (direct):
Cd (0.0005, 0.0914, 0.1823)
Cd (0.0000, 0.5000, 0.0000)
Cd (0.9995, 0.9086, 0.8177)
Mg (0.5000, 0.2491, 0.4995)
Mg (0.5000, 0.7687, 0.9999)
Mg (0.5000, 0.7509, 0.5005)
Mg (0.5000, 0.2313, 0.0001)
Hg (0.9999, 0.1362, 0.6870)
Hg (0.0000, 0.4500, 0.3134)
Hg (0.0001, 0.8638, 0.3130)
Hg (0.0000, 0.5500, 0.6866)

---

Stability check: which of them is most stable? arrangement x.

---

Arrangement w

Mg4CdHg7 | PBE | relaxed

The total magnetic moment comes out at 0.00 μB per formula unit. Its density of states at the Fermi level is 3.6 states/eV per cell.

Cell lengths 5.4103, 9.1400, 6.8098 Å; angles 79.17, 66.59, 72.78 degrees
Positions (direct):
Hg (0.0639, 0.6421, 0.2301)
Hg (0.2034, 0.0877, 0.5054)
Hg (0.6536, 0.4427, 0.2502)
Hg (0.9361, 0.3579, 0.7699)
Hg (0.3464, 0.5573, 0.7498)
Hg (0.7966, 0.9123, 0.4946)
Hg (0.5000, 0.0000, 0.0000)
Cd (0.0000, 0.0000, 0.0000)
Mg (0.5751, 0.2291, 0.6207)
Mg (0.7242, 0.6847, 0.8668)
Mg (0.2758, 0.3153, 0.1332)
Mg (0.4249, 0.7709, 0.3793)

---

Arrangement x

Mg4CdHg7 | PBE | relaxed

The total magnetic moment comes out at 0.00 μB per formula unit. Its density of states at the Fermi level is 3.4 states/eV per cell.

Cell lengths 5.9982, 8.5703, 10.0898 Å; angles 58.42, 39.99, 57.69 degrees
Positions (direct):
Cd (0.0000, 0.0000, 0.0000)
Hg (0.2450, 0.0351, 0.4819)
Hg (0.9632, 0.6357, 0.3233)
Hg (0.5000, 0.0000, 0.0000)
Hg (0.2551, 0.6666, 0.8244)
Hg (0.7449, 0.3334, 0.1756)
Hg (0.0368, 0.3643, 0.6767)
Hg (0.7550, 0.9649, 0.5181)
Mg (0.5522, 0.3305, 0.6692)
Mg (0.2955, 0.3258, 0.1296)
Mg (0.7045, 0.6742, 0.8704)
Mg (0.4478, 0.6695, 0.3308)

---

Stability check: which of them is most stable? arrangement x.

---

Arrangement w

Mg2CdHg3 | PBE | relaxed

The total magnetic moment comes out at 0.00 μB per formula unit. Its density of states at the Fermi level is 4.5 states/eV per cell.

Cell lengths 3.3253, 7.4613, 11.9408 Å; angles 90.00, 98.00, 90.00 degrees
Positions (direct):
Hg (0.7469, 0.7500, 0.4938)
Hg (0.5663, 0.5448, 0.1325)
Hg (0.4337, 0.4552, 0.8675)
Hg (0.5663, 0.9552, 0.1325)
Hg (0.4337, 0.0448, 0.8675)
Hg (0.2531, 0.2500, 0.5062)
Mg (0.1487, 0.7500, 0.2973)
Mg (0.0222, 0.2500, 0.0444)
Mg (0.9778, 0.7500, 0.9556)
Mg (0.8513, 0.2500, 0.7027)
Cd (0.3501, 0.7500, 0.7002)
Cd (0.6499, 0.2500, 0.2998)

---

Arrangement x

Mg2CdHg3 | PBE | relaxed

The total magnetic moment comes out at 0.00 μB per formula unit. Its density of states at the Fermi level is 3.9 states/eV per cell.

Cell lengths 9.4149, 7.0081, 9.9608 Å; angles 56.30, 34.30, 47.80 degrees
Positions (direct):
Mg (0.3263, 0.3474, 0.5000)
Mg (0.0000, 0.0000, 0.0000)
Mg (0.0000, 0.0000, 0.5000)
Mg (0.6737, 0.6526, 0.5000)
Cd (0.3356, 0.3289, 0.0000)
Cd (0.6644, 0.6711, 0.0000)
Hg (0.1708, 0.6741, 0.7432)
Hg (0.5072, 0.0000, 0.2562)
Hg (0.8292, 0.3259, 0.2568)
Hg (0.4928, 0.0000, 0.7438)
Hg (0.8450, 0.3259, 0.7432)
Hg (0.1550, 0.6741, 0.2568)

---

Stability check: which of them is most stable? arrangement x.

---

Arrangement w

Mg2Cd2Hg5 | PBE | relaxed

The total magnetic moment comes out at 0.00 μB per formula unit. Its density of states at the Fermi level is 4.3 states/eV per cell.

Cell lengths 7.5789, 7.6437, 8.5439 Å; angles 116.57, 90.00, 90.00 degrees
Positions (direct):
Cd (0.5000, 0.2992, 0.5984)
Cd (0.5000, 0.7008, 0.4016)
Cd (0.0000, 0.2008, 0.4016)
Cd (0.0000, 0.7992, 0.5984)
Hg (0.1510, 0.2144, 0.7312)
Hg (0.8490, 0.7856, 0.2688)
Hg (0.6510, 0.2856, 0.2688)
Hg (0.8490, 0.5168, 0.7312)
Hg (0.3490, 0.9832, 0.2688)
Hg (0.1510, 0.4832, 0.2688)
Hg (0.6510, 0.0168, 0.7312)
Hg (0.0000, 0.0000, 0.0000)
Hg (0.5000, 0.5000, 0.0000)
Hg (0.3490, 0.7144, 0.7312)
Mg (0.6482, 0.8506, 0.0000)
Mg (0.8518, 0.3506, 0.0000)
Mg (0.3518, 0.1494, 0.0000)
Mg (0.1482, 0.6494, 0.0000)

---

Arrangement x

Mg2Cd2Hg5 | PBE | relaxed

The total magnetic moment comes out at 0.00 μB per formula unit. Its density of states at the Fermi level is 4.2 states/eV per cell.

Cell lengths 5.3863, 8.1327, 11.0454 Å; angles 111.60, 104.11, 90.00 degrees
Positions (direct):
Hg (0.0346, 0.2810, 0.1549)
Hg (0.3424, 0.2132, 0.6787)
Hg (0.1676, 0.7863, 0.5000)
Hg (0.6576, 0.5345, 0.3213)
Hg (0.1637, 0.0345, 0.3213)
Hg (0.8324, 0.2863, 0.5000)
Hg (0.3797, 0.6261, 0.8451)
Hg (0.8363, 0.7132, 0.6787)
Hg (0.6203, 0.7810, 0.1549)
Hg (0.9654, 0.1261, 0.8451)
Cd (0.0000, 0.8606, 0.0000)
Cd (0.5000, 0.3606, 0.0000)
Cd (0.6653, 0.9426, 0.5000)
Cd (0.3347, 0.4426, 0.5000)
Mg (0.1450, 0.6434, 0.1950)
Mg (0.4501, 0.9484, 0.8050)
Mg (0.8550, 0.4484, 0.8050)
Mg (0.5499, 0.1434, 0.1950)

---

Stability check: which of them is most stable? arrangement w.

---

Arrangement w

Mg2Cd5Hg2 | PBE | relaxed

The total magnetic moment comes out at 0.00 μB per formula unit. Its density of states at the Fermi level is 5.6 states/eV per cell.

Cell lengths 6.2328, 7.5804, 10.3395 Å; angles 111.50, 107.54, 90.00 degrees
Positions (direct):
Hg (0.1228, 0.4504, 0.5000)
Hg (0.0000, 0.8609, 0.0000)
Hg (0.8772, 0.9504, 0.5000)
Hg (0.5000, 0.3609, 0.0000)
Mg (0.2168, 0.6187, 0.1527)
Mg (0.7832, 0.4660, 0.8473)
Mg (0.4358, 0.1187, 0.1527)
Mg (0.5641, 0.9660, 0.8473)
Cd (0.3424, 0.2009, 0.6677)
Cd (0.9636, 0.2888, 0.1570)
Cd (0.8253, 0.7009, 0.6677)
Cd (0.6314, 0.2854, 0.5000)
Cd (0.6576, 0.5331, 0.3323)
Cd (0.1747, 0.0331, 0.3323)
Cd (0.0364, 0.1318, 0.8430)
Cd (0.3066, 0.6318, 0.8430)
Cd (0.3686, 0.7854, 0.5000)
Cd (0.6934, 0.7888, 0.1570)

---

Arrangement x

Mg2Cd5Hg2 | PBE | relaxed

The total magnetic moment comes out at 0.00 μB per formula unit. Its density of states at the Fermi level is 5.7 states/eV per cell.

Cell lengths 5.1954, 9.6946, 9.6946 Å; angles 64.86, 74.18, 74.18 degrees
Positions (direct):
Cd (0.9003, 0.6673, 0.0342)
Cd (0.7038, 0.3629, 0.7334)
Cd (0.5010, 0.5666, 0.9335)
Cd (0.2984, 0.7638, 0.1401)
Cd (0.8972, 0.1675, 0.5340)
Cd (0.7016, 0.8599, 0.2362)
Cd (0.1028, 0.4660, 0.8325)
Cd (0.4990, 0.0665, 0.4334)
Cd (0.2962, 0.2666, 0.6371)
Cd (0.0997, 0.9658, 0.3327)
Hg (0.7974, 0.6994, 0.5691)
Hg (0.2026, 0.4309, 0.3006)
Hg (0.4326, 0.1967, 0.0664)
Hg (0.5674, 0.9336, 0.8033)
Mg (0.1673, 0.8165, 0.6832)
Mg (0.0000, 0.0625, 0.9375)
Mg (0.5000, 0.5625, 0.4375)
Mg (0.8327, 0.3168, 0.1835)

---

Stability check: which of them is most stable? arrangement x.

---

Arrangement w

Mg6CdHg12 | PBE | relaxed

The total magnetic moment comes out at 0.00 μB per formula unit. Its density of states at the Fermi level is 6.8 states/eV per cell.

Cell lengths 8.2806, 8.2806, 8.2806 Å; angles 107.31, 107.31, 107.31 degrees
Positions (direct):
Hg (0.8864, 0.5000, 0.1136)
Hg (0.8864, 0.1136, 0.5000)
Hg (0.1136, 0.8864, 0.5000)
Hg (0.5000, 0.1136, 0.8864)
Hg (0.8830, 0.6434, 0.6434)
Hg (0.1170, 0.3566, 0.3566)
Hg (0.6434, 0.6434, 0.8830)
Hg (0.6434, 0.8830, 0.6434)
Hg (0.3566, 0.3566, 0.1170)
Hg (0.1136, 0.5000, 0.8864)
Hg (0.3566, 0.1170, 0.3566)
Hg (0.5000, 0.8864, 0.1136)
Mg (0.3023, 0.3023, 0.7077)
Mg (0.2923, 0.6977, 0.6977)
Mg (0.7077, 0.3023, 0.3023)
Mg (0.6977, 0.6977, 0.2923)
Mg (0.3023, 0.7077, 0.3023)
Mg (0.6977, 0.2923, 0.6977)
Cd (0.0000, 0.0000, 0.0000)

---

Arrangement x

Mg6CdHg12 | PBE | relaxed

The total magnetic moment comes out at 0.00 μB per formula unit. Its density of states at the Fermi level is 6.5 states/eV per cell.

Cell lengths 8.5234, 8.2219, 8.2220 Å; angles 71.28, 69.78, 110.21 degrees
Positions (direct):
Mg (0.5559, 0.5127, 0.7756)
Mg (0.0432, 0.7117, 0.5127)
Mg (0.3315, 0.7756, 0.7117)
Mg (0.6685, 0.2244, 0.2883)
Mg (0.9568, 0.2883, 0.4873)
Mg (0.4441, 0.4873, 0.2244)
Hg (0.2055, 0.7225, 0.1341)
Hg (0.8759, 0.6328, 0.9348)
Hg (0.1241, 0.3672, 0.0652)
Hg (0.7945, 0.2775, 0.8659)
Hg (0.8107, 0.9348, 0.4324)
Hg (0.3397, 0.1341, 0.1433)
Hg (0.4830, 0.1433, 0.7225)
Hg (0.2431, 0.4324, 0.6328)
Hg (0.5170, 0.8567, 0.2775)
Hg (0.7569, 0.5676, 0.3672)
Hg (0.1893, 0.0652, 0.5676)
Hg (0.6603, 0.8659, 0.8567)
Cd (0.0000, 0.0000, 0.0000)

---

Stability check: which of them is most stable? arrangement x.

---

Arrangement w

Mg7CdHg4 | PBE | relaxed

The total magnetic moment comes out at 0.00 μB per formula unit. Its density of states at the Fermi level is 4.4 states/eV per cell.

Cell lengths 5.1661, 8.5394, 7.3023 Å; angles 80.36, 69.28, 72.39 degrees
Positions (direct):
Mg (0.7841, 0.8716, 0.5602)
Mg (0.0687, 0.6702, 0.1924)
Mg (0.5000, 0.0000, 0.0000)
Mg (0.3485, 0.5829, 0.7200)
Mg (0.2159, 0.1284, 0.4398)
Mg (0.9313, 0.3298, 0.8076)
Mg (0.6515, 0.4171, 0.2800)
Hg (0.5741, 0.2191, 0.6327)
Hg (0.4259, 0.7809, 0.3673)
Hg (0.2869, 0.3427, 0.0835)
Hg (0.7131, 0.6573, 0.9165)
Cd (0.0000, 0.0000, 0.0000)

---

Arrangement x

Mg7CdHg4 | PBE | relaxed

The total magnetic moment comes out at 0.00 μB per formula unit. Its density of states at the Fermi level is 5.2 states/eV per cell.

Cell lengths 6.0568, 6.6661, 9.6784 Å; angles 65.47, 48.48, 69.26 degrees
Positions (direct):
Mg (0.5000, 0.0000, 0.0000)
Mg (0.0229, 0.3310, 0.6557)
Mg (0.9771, 0.6690, 0.3443)
Mg (0.2427, 0.5105, 0.0020)
Mg (0.2392, 0.8321, 0.6427)
Mg (0.7573, 0.4895, 0.9980)
Mg (0.7608, 0.1679, 0.3573)
Hg (0.7099, 0.8080, 0.6869)
Hg (0.2901, 0.1920, 0.3131)
Hg (0.5203, 0.6507, 0.3117)
Hg (0.4797, 0.3493, 0.6883)
Cd (0.0000, 0.0000, 0.0000)

---

Stability check: which of them is most stable? arrangement x.

---

Arrangement w

Mg2CdHg5 | PBE | relaxed

The total magnetic moment comes out at 0.00 μB per formula unit. Its density of states at the Fermi level is 2.5 states/eV per cell.

Cell lengths 5.5577, 8.5056, 5.9807 Å; angles 112.23, 106.80, 118.40 degrees
Positions (direct):
Hg (0.8946, 0.9681, 0.6889)
Hg (0.6983, 0.2322, 0.0082)
Hg (0.1706, 0.0969, 0.3426)
Hg (0.4372, 0.4817, 0.1770)
Hg (0.3486, 0.8103, 0.9976)
Mg (0.1669, 0.7368, 0.4127)
Mg (0.8757, 0.3028, 0.5859)
Cd (0.6310, 0.5941, 0.7871)

---

Arrangement x

Mg2CdHg5 | PBE | relaxed

The total magnetic moment comes out at 0.00 μB per formula unit. Its density of states at the Fermi level is 5.1 states/eV per cell.

Cell lengths 5.1127, 6.0302, 14.0097 Å; angles 90.00, 90.00, 115.08 degrees
Positions (direct):
Hg (0.3667, 0.7333, 0.0352)
Hg (0.5703, 0.1407, 0.2500)
Hg (0.9323, 0.8646, 0.8927)
Hg (0.6333, 0.2667, 0.5352)
Hg (0.0677, 0.1354, 0.1073)
Hg (0.6333, 0.2667, 0.9648)
Hg (0.0677, 0.1354, 0.3927)
Hg (0.3667, 0.7333, 0.4648)
Hg (0.9323, 0.8646, 0.6073)
Hg (0.4297, 0.8593, 0.7500)
Mg (0.7980, 0.5961, 0.1294)
Mg (0.2020, 0.4039, 0.6294)
Mg (0.2020, 0.4039, 0.8706)
Mg (0.7980, 0.5961, 0.3706)
Cd (0.2952, 0.5904, 0.2500)
Cd (0.7048, 0.4096, 0.7500)

---

Stability check: which of them is most stable? arrangement w.

---

Arrangement w

Mg2Cd2Hg7 | PBE | relaxed

The total magnetic moment comes out at 0.00 μB per formula unit. Its density of states at the Fermi level is 3.6 states/eV per cell.

Cell lengths 7.5716, 6.0513, 6.0513 Å; angles 106.08, 85.95, 85.95 degrees
Positions (direct):
Cd (0.8414, 0.3971, 0.3971)
Cd (0.1586, 0.6029, 0.6029)
Hg (0.8111, 0.9235, 0.5104)
Hg (0.0000, 0.0000, 0.0000)
Hg (0.1889, 0.4896, 0.0765)
Hg (0.8111, 0.5104, 0.9235)
Hg (0.5214, 0.1964, 0.1964)
Hg (0.4786, 0.8036, 0.8036)
Hg (0.1889, 0.0765, 0.4896)
Mg (0.5000, 0.7159, 0.2841)
Mg (0.5000, 0.2841, 0.7159)

---

Arrangement x

Mg2Cd2Hg7 | PBE | relaxed

The total magnetic moment comes out at 0.00 μB per formula unit. Its density of states at the Fermi level is 2.9 states/eV per cell.

Cell lengths 5.6925, 7.5794, 7.5793 Å; angles 90.30, 66.43, 66.43 degrees
Positions (direct):
Hg (0.8931, 0.3925, 0.3925)
Hg (0.3262, 0.9239, 0.4299)
Hg (0.5000, 0.0000, 0.0000)
Hg (0.3262, 0.4299, 0.9239)
Hg (0.6738, 0.5701, 0.0761)
Hg (0.6738, 0.0761, 0.5701)
Hg (0.1069, 0.6075, 0.6075)
Mg (0.4947, 0.7239, 0.7239)
Mg (0.5053, 0.2761, 0.2761)
Cd (0.0000, 0.1492, 0.8508)
Cd (0.0000, 0.8508, 0.1492)

---

Stability check: which of them is most stable? arrangement w.